YPd6Pt2: relaxed, PBE-GGA.

a = 5.4004 Å, b = 5.4004 Å, c = 7.0274 Å
α = 90.00°, β = 90.00°, γ = 120.00°
Fractional positions:
Y 0.0000 0.0000 0.0000
Pd 0.0000 0.5000 0.1912
Pd 0.0000 0.5000 0.8088
Pd 0.5000 0.0000 0.1912
Pd 0.5000 0.0000 0.8088
Pd 0.5000 0.5000 0.1912
Pd 0.5000 0.5000 0.8088
Pt 0.3333 0.6667 0.5000
Pt 0.6667 0.3333 0.5000

- V (Å³ per cell) = 177.5
- total magnetic moment (μB/f.u.) = 0.0
- calculated formation energy (eV per formula unit) = -0.82
- energy (eV for the cell shown) = -50.520